The following is a PBE calculation of crystalline ThGe2Pd4 at its relaxed geometry, from the Alexandria database.

Cell lengths 4.2909, 6.7940, 17.3228 Å; angles 90.00, 90.00, 90.00 degrees
With the nearest neighbours (Å) after each atom.
Fractional positions:
Th: 0.7500 0.5038 0.1397  9 Pd 3.00-3.31, 4 Ge 3.25-3.27
Th: 0.7500 0.9962 0.6397  9 Pd 3.00-3.31, 4 Ge 3.25-3.27
Th: 0.2500 0.4962 0.8603  9 Pd 3.00-3.31, 4 Ge 3.25-3.27
Th: 0.2500 0.0038 0.3603  9 Pd 3.00-3.31, 4 Ge 3.25-3.27
Pd: 0.2500 0.3593 0.0250  3 Ge 2.61-2.82
Pd: 0.7500 0.7152 0.3117  3 Ge 2.56-2.62, 1 Pd 2.80
Pd: 0.7500 0.7848 0.8117  3 Ge 2.56-2.62, 1 Pd 2.80
Pd: 0.7500 0.3033 0.3093  4 Ge 2.53-2.61, 1 Pd 2.80
Pd: 0.2500 0.8033 0.1907  4 Ge 2.53-2.61, 1 Pd 2.80
Pd: 0.2500 0.2152 0.1883  3 Ge 2.56-2.62, 1 Pd 2.80
Pd: 0.7500 0.1967 0.8093  4 Ge 2.53-2.61, 1 Pd 2.80
Pd: 0.2500 0.2848 0.6883  3 Ge 2.56-2.62, 1 Pd 2.80
Pd: 0.2500 0.6967 0.6907  4 Ge 2.53-2.61, 1 Pd 2.80
Pd: 0.2500 0.1407 0.5250  3 Ge 2.61-2.82
Pd: 0.7500 0.0023 0.0722  4 Ge 2.53-2.70
Pd: 0.2500 0.9977 0.9278  4 Ge 2.53-2.70
Pd: 0.7500 0.8593 0.4750  3 Ge 2.61-2.82
Pd: 0.7500 0.6407 0.9750  3 Ge 2.61-2.82
Pd: 0.7500 0.4977 0.5722  4 Ge 2.53-2.70
Pd: 0.2500 0.5023 0.4278  4 Ge 2.53-2.70
Ge: 0.7500 0.2284 0.9565  7 Pd 2.53-2.82
Ge: 0.7500 0.4907 0.7196  7 Pd 2.53-2.62
Ge: 0.2500 0.9907 0.7804  7 Pd 2.53-2.62
Ge: 0.7500 0.2716 0.4565  7 Pd 2.53-2.82
Ge: 0.2500 0.7284 0.5435  7 Pd 2.53-2.82
Ge: 0.2500 0.5093 0.2804  7 Pd 2.53-2.62
Ge: 0.2500 0.7716 0.0435  7 Pd 2.53-2.82
Ge: 0.7500 0.0093 0.2196  7 Pd 2.53-2.62

Results
Spin magnetization (μB per atom): 0.00



The following is a PBE calculation of crystalline KLaCuBr5 at its relaxed geometry, from the Alexandria database.

Cell lengths 7.8760, 7.8760, 10.8361 Å; angles 103.61, 103.61, 106.69 degrees
With the nearest neighbours (Å) after each atom.
Fractional positions:
Cu: 0.6881 0.3119 0.2500  4 Br 2.47-2.49
Cu: 0.3119 0.6881 0.7500  4 Br 2.47-2.49
Br: 0.6724 0.0797 0.3692  1 Cu 2.47
Br: 0.3926 0.2508 0.0706  1 Cu 2.49
Br: 0.7492 0.6074 0.4294  1 Cu 2.49
Br: 0.6074 0.7492 0.9294  1 Cu 2.49
Br: 0.9203 0.3276 0.1308  1 Cu 2.47
Br: 0.9030 0.0970 0.7500  2 La 2.97
Br: 0.2508 0.3926 0.5706  1 Cu 2.49
Br: 0.0797 0.6724 0.8692  1 Cu 2.47
Br: 0.3276 0.9203 0.6308  1 Cu 2.47
Br: 0.0970 0.9030 0.2500  2 La 2.97
La: 0.0000 0.0000 0.5000  6 Br 2.95-2.97
La: 0.0000 0.0000 0.0000  6 Br 2.95-2.97
K: 0.6389 0.3611 0.7500  5 Br 3.32-3.35
K: 0.3611 0.6389 0.2500  5 Br 3.32-3.35

Results
Formation energy (no corrections) (eV/atom): -1.480
Spin magnetization (μB per atom): 0.02



The following is a PBE calculation of crystalline Ga2Ag2Sn at its relaxed geometry, from the Alexandria database.

Cell lengths 8.3058, 8.3058, 2.9187 Å; angles 90.00, 90.00, 90.00 degrees
With the nearest neighbours (Å) after each atom.
Fractional positions:
Ag: 0.3190 0.1810 0.5000  6 Ga 2.79-2.92, 2 Ag 2.92
Ag: 0.8190 0.3190 0.5000  6 Ga 2.79-2.92, 2 Ag 2.92
Ag: 0.1810 0.6810 0.5000  6 Ga 2.79-2.92, 2 Ag 2.92
Ag: 0.6810 0.8190 0.5000  6 Ga 2.79-2.92, 2 Ag 2.92
Ga: 0.1169 0.3831 0.0000  3 Ga 2.75-2.92, 6 Ag 2.79-2.92
Ga: 0.8831 0.6169 0.0000  3 Ga 2.75-2.92, 6 Ag 2.79-2.92
Ga: 0.6169 0.1169 0.0000  3 Ga 2.75-2.92, 6 Ag 2.79-2.92
Ga: 0.3831 0.8831 0.0000  3 Ga 2.75-2.92, 6 Ag 2.79-2.92
Sn: 0.5000 0.5000 0.0000  2 Sn 2.92
Sn: 0.0000 0.0000 0.0000  2 Sn 2.92

Results
Spin magnetization (μB per atom): 0.00



The following is a PBE calculation of crystalline Pr2NdY4 at its relaxed geometry, from the Alexandria database.

Cell lengths 3.5922, 8.9321, 8.7295 Å; angles 119.24, 101.88, 90.02 degrees
With the nearest neighbours (Å) after each atom.
Fractional positions:
Nd: 0.0000 0.0000 0.0000  2 Pr 3.39, 2 Nd 3.59, 4 Y 3.65
Pr: 0.9318 0.5727 0.8626  1 Pr 3.20, 1 Y 3.37, 1 Nd 3.39
Pr: 0.0682 0.4273 0.1374  1 Pr 3.20, 1 Y 3.37, 1 Nd 3.39
Y: 0.2932 0.7076 0.5859  3 Pr 3.37-3.62, 7 Y 3.59-3.75, 2 Nd 3.65
Y: 0.3535 0.1545 0.7062  7 Y 3.59-3.75, 4 Pr 3.71-3.74, 2 Nd 3.86
Y: 0.6465 0.8455 0.2938  7 Y 3.59-3.75, 4 Pr 3.71-3.74, 2 Nd 3.86
Y: 0.7068 0.2924 0.4141  3 Pr 3.37-3.62, 7 Y 3.59-3.75, 2 Nd 3.65

Results
Spin magnetization (μB per atom): 0.00



The following is a PBE calculation of crystalline Ba3NaPr2Se6 at its relaxed geometry, from the Alexandria database.

Cell lengths 7.7566, 7.7566, 7.8274 Å; angles 99.48, 99.48, 119.98 degrees
With the nearest neighbours (Å) after each atom.
Fractional positions:
Na: 0.0000 0.0000 0.0000  6 Se 3.11-3.14
Se: 0.2671 0.2671 0.7776  2 Pr 3.05, 1 Na 3.11, 3 Ba 3.25-3.30
Se: 0.4177 0.0757 0.2263  2 Pr 3.05, 1 Na 3.14, 3 Ba 3.26-3.31
Se: 0.9243 0.5823 0.7737  2 Pr 3.05, 1 Na 3.14, 3 Ba 3.26-3.31
Se: 0.7329 0.7329 0.2224  2 Pr 3.05, 1 Na 3.11, 3 Ba 3.25-3.30
Se: 0.5823 0.9243 0.7737  2 Pr 3.05, 1 Na 3.14, 3 Ba 3.26-3.31
Se: 0.0757 0.4177 0.2263  2 Pr 3.05, 1 Na 3.14, 3 Ba 3.26-3.31
Ba: 0.1633 0.8367 0.5000  6 Se 3.26-3.31
Ba: 0.8367 0.1633 0.5000  6 Se 3.26-3.31
Ba: 0.5000 0.5000 0.5000  6 Se 3.25-3.31
Pr: 0.3326 0.6674 0.0000  6 Se 3.05
Pr: 0.6674 0.3326 0.0000  6 Se 3.05

Results
Formation energy (no corrections) (eV/atom): -1.862
Spin magnetization (μB per atom): 0.00



The following is a PBE calculation of crystalline SmHoH2 at its relaxed geometry, from the Alexandria database.

Cell lengths 3.5187, 3.5187, 6.0665 Å; angles 73.14, 73.14, 60.00 degrees
With the nearest neighbours (Å) after each atom.
Fractional positions:
H: 0.7546 0.7546 0.7363  3 Ho 2.44, 3 Sm 2.53
H: 0.2454 0.2454 0.2637  3 Ho 2.44, 3 Sm 2.53
Ho: 0.5000 0.5000 0.5000  6 H 2.44
Sm: 0.0000 0.0000 0.0000  6 H 2.53

Results
Spin magnetization (μB per atom): 0.00



The following is a PBE calculation of crystalline Mg2ZrAl2 at its relaxed geometry, from the Alexandria database.

Cell lengths 7.8806, 7.8806, 3.1946 Å; angles 90.00, 90.00, 90.00 degrees
With the nearest neighbours (Å) after each atom.
Fractional positions:
Mg: 0.3274 0.1726 0.5000  6 Al 2.76-2.87
Mg: 0.1726 0.6726 0.5000  6 Al 2.76-2.87
Mg: 0.6726 0.8274 0.5000  6 Al 2.76-2.87
Mg: 0.8274 0.3274 0.5000  6 Al 2.76-2.87
Zr: 0.0000 0.0000 0.0000  4 Al 3.11, 2 Zr 3.19, 8 Mg 3.33
Zr: 0.5000 0.5000 0.0000  4 Al 3.11, 2 Zr 3.19, 8 Mg 3.33
Al: 0.1256 0.3744 0.0000  6 Mg 2.76-2.87, 1 Al 2.80
Al: 0.8744 0.6256 0.0000  6 Mg 2.76-2.87, 1 Al 2.80
Al: 0.3744 0.8744 0.0000  6 Mg 2.76-2.87, 1 Al 2.80
Al: 0.6256 0.1256 0.0000  6 Mg 2.76-2.87, 1 Al 2.80

Results
Spin magnetization (μB per atom): 0.00



The following is a PBE calculation of crystalline Tb4HgPd2Ru at its relaxed geometry, from the Alexandria database.

Cell lengths 5.0276, 5.0276, 8.7096 Å; angles 73.22, 73.22, 60.00 degrees
With the nearest neighbours (Å) after each atom.
Fractional positions:
Tb: 0.1309 0.1309 0.6072  4 Pd 2.94-3.13, 3 Ru 3.03, 1 Hg 3.23
Tb: 0.8691 0.8691 0.3928  4 Pd 2.94-3.13, 3 Ru 3.03, 1 Hg 3.23
Tb: 0.3832 0.3832 0.8506  1 Ru 2.88, 3 Pd 3.02, 3 Hg 3.15
Tb: 0.6168 0.6168 0.1494  1 Ru 2.88, 3 Pd 3.02, 3 Hg 3.15
Hg: 0.0000 0.0000 0.0000  8 Tb 3.15-3.23
Pd: 0.2504 0.2504 0.2489  8 Tb 2.94-3.27
Pd: 0.7496 0.7496 0.7511  8 Tb 2.94-3.27
Ru: 0.5000 0.5000 0.5000  8 Tb 2.88-3.03

Results
Spin magnetization (μB per atom): 0.00



no.,DFT total energy (eV/atom)
1,-6.03
2,-3.79
3,-3.09
4,-5.70
5,-4.99
6,-4.37
7,-3.88
8,-5.45